No. 1
PBE BaAlI2Br, optimized geometry; total moment = 0.001 μB per atom; DOS at the Fermi energy = 1.57 states/eV per cell; formation energy (no corrections) = -418 meV per atom
1.0
7.0202 0.0000 0.0000
0.0000 7.0202 0.0000
0.0000 0.0000 4.9316
Ba Al I Br
1 1 2 1
Direct
0.0000 0.0000 0.0000
0.5000 0.5000 0.0000
0.0000 0.5000 0.5000
0.5000 0.0000 0.5000
0.5000 0.5000 0.5000


No. 2
PBE K2BaAlBr8, optimized geometry; total moment = 0.093 μB per atom; DOS at the Fermi energy = 16.16 states/eV per cell; formation energy (no corrections) = -1367 meV per atom
1.0
7.3751 0.0000 0.0000
-3.6875 6.3870 0.0000
0.0000 0.0000 8.5761
K Ba Al Br
2 1 1 8
Direct
0.3333 0.6667 0.3828
0.6667 0.3333 0.6172
0.0000 0.0000 0.0000
0.0000 0.0000 0.5000
0.1583 0.3166 0.6763
0.1583 0.8417 0.6763
0.3166 0.1583 0.3237
0.3333 0.6667 0.0165
0.6667 0.3333 0.9835
0.6834 0.8417 0.6763
0.8417 0.1583 0.3237
0.8417 0.6834 0.3237


No. 3
PBE KBaAl2Br8, optimized geometry; total moment = 0.000 μB per atom; DOS at the Fermi energy = 5.65 states/eV per cell; formation energy (no corrections) = -1306 meV per atom
1.0
3.6338 2.0980 10.1537
-3.6338 2.0980 10.1537
0.0000 -4.1960 10.1537
K Ba Al Br
1 1 2 8
Direct
0.0000 0.0000 0.0000
0.5000 0.5000 0.5000
0.2564 0.2564 0.2564
0.7436 0.7436 0.7436
0.0645 0.8076 0.4373
0.1924 0.5627 0.9355
0.3335 0.3335 0.3335
0.4373 0.0645 0.8076
0.5627 0.9355 0.1924
0.6665 0.6665 0.6665
0.8076 0.4373 0.0645
0.9355 0.1924 0.5627


No. 4
PBE KBa2AlBr, optimized geometry; total moment = 0.000 μB per atom; DOS at the Fermi energy = 4.06 states/eV per cell; formation energy (no corrections) = -261 meV per atom
1.0
6.5328 0.0000 0.0000
0.0000 6.5328 0.0000
0.0000 0.0000 6.6164
K Ba Al Br
1 2 1 1
Direct
0.0000 0.0000 0.0000
0.0000 0.5000 0.5000
0.5000 0.0000 0.5000
0.0000 0.0000 0.5000
0.5000 0.5000 0.0000


No. 5
PBE BaLi2AlBr8, optimized geometry; total moment = 0.030 μB per atom; DOS at the Fermi energy = 15.55 states/eV per cell; formation energy (no corrections) = -1295 meV per atom
1.0
6.7891 0.0000 0.0000
-3.3946 5.8796 0.0000
0.0000 0.0000 8.7348
Ba Li Al Br
1 2 1 8
Direct
0.0000 0.0000 0.0000
0.3333 0.6667 0.6968
0.6667 0.3333 0.3032
0.0000 0.0000 0.5000
0.0294 0.7179 0.3293
0.2821 0.3115 0.3293
0.3115 0.0294 0.6706
0.3333 0.6667 0.9870
0.6667 0.3333 0.0130
0.6885 0.9706 0.3293
0.7179 0.6885 0.6706
0.9706 0.2821 0.6706


No. 6
PBE BaAl2MoBr, optimized geometry; total moment = 0.783 μB per atom; DOS at the Fermi energy = 2.49 states/eV per cell; formation energy (no corrections) = 1006 meV per atom
1.0
5.3311 0.0000 0.0000
0.0000 5.3311 0.0000
0.0000 0.0000 5.9100
Ba Al Mo Br
1 2 1 1
Direct
0.0000 0.0000 0.0000
0.0000 0.5000 0.5000
0.5000 0.0000 0.5000
0.5000 0.5000 0.0000
0.0000 0.0000 0.5000